First-principles (PBE) data for crystalline NpScTc4 at its relaxed geometry, as listed in the Alexandria database.

Structure (POSCAR):
```
NpScTc4
1.0
-3.002 -4.023 1.754
-1.355 -3.942 -3.301
2.129 -4.833 0.616
Tc Np Sc
4 1 1
direct
0.625 0.124 0.625
0.124 0.625 0.625
0.625 0.625 0.124
0.625 0.625 0.625
0.250 0.250 0.250
0.000 0.000 0.000
```

Computed properties:
total DFT energy (no corrections) = -10.10 eV per atom
space group = F-43m (216)

First-principles (PBE) data for crystalline MgCu2Ag2Pd5 at its relaxed geometry, as listed in the Alexandria database.

Structure (POSCAR):
```
MgCu2Ag2Pd5
1.0
-1.373 1.536 3.478
-8.361 -0.456 -3.099
-0.785 -8.246 3.332
Pd Ag Mg Cu
10 4 2 4
direct
0.500 0.077 0.799
0.500 0.201 0.077
0.500 0.000 0.500
0.500 0.423 0.299
0.500 0.799 0.923
0.500 0.299 0.577
0.500 0.701 0.423
0.500 0.577 0.701
0.500 0.923 0.201
0.500 0.500 0.000
0.000 0.673 0.173
0.000 0.327 0.827
0.000 0.827 0.673
0.000 0.173 0.327
0.000 0.500 0.500
0.000 0.000 0.000
0.000 0.622 0.878
0.000 0.122 0.622
0.000 0.378 0.122
0.000 0.878 0.378
```

Computed properties:
total DFT energy (no corrections) = -4.26 eV per atom
space group = P4/mbm (127)